! PBE-GGA BaAc2AuS5, optimized geometry; values from VASP
! Raw total energy (eV per atom): -5.373
! Magnetic moment (Bohr magnetons per cell): 0.00
! Formation energy from raw total energies (eV per atom): -1.589
! Mass density (g/cm3): 6.5
&SYSTEM
  ibrav = 0, nat = 18, ntyp = 4
/
ATOMIC_SPECIES
Ba 137.33 Ba.upf
Ac 227.00 Ac.upf
Au 196.97 Au.upf
S 32.06 S.upf
CELL_PARAMETERS angstrom
-4.102 4.102 7.203
4.102 -4.102 7.203
4.102 4.102 -7.203
ATOMIC_POSITIONS crystal
Ba 0.250 0.250 0.000
Ba 0.750 0.750 0.000
Ac 0.160 0.660 0.820
Ac 0.340 0.160 0.500
Ac 0.660 0.840 0.500
Ac 0.840 0.340 0.180
Au 0.250 0.750 0.500
Au 0.750 0.250 0.500
S 0.000 0.000 0.000
S 0.020 0.218 0.500
S 0.218 0.718 0.197
S 0.282 0.480 0.500
S 0.480 0.980 0.197
S 0.500 0.500 0.000
S 0.520 0.020 0.803
S 0.718 0.520 0.500
S 0.782 0.282 0.803
S 0.980 0.782 0.500

***

! PBE-GGA Tb4PrNd2Sc, optimized geometry; values from VASP
! Raw total energy (eV per atom): -4.764
! Magnetic moment (Bohr magnetons per cell): 0.00
! DFT formation energy (meV/atom): 132
! Mass density (g/cm3): 7.1
&SYSTEM
  ibrav = 0, nat = 8, ntyp = 4
/
ATOMIC_SPECIES
Tb 158.93 Tb.upf
Pr 140.91 Pr.upf
Nd 144.24 Nd.upf
Sc 44.96 Sc.upf
CELL_PARAMETERS angstrom
5.916 0.000 0.000
0.000 5.916 0.000
0.000 0.000 7.406
ATOMIC_POSITIONS crystal
Tb 0.000 0.500 0.240
Tb 0.000 0.500 0.760
Tb 0.500 0.000 0.240
Tb 0.500 0.000 0.760
Pr 0.000 0.000 0.500
Nd 0.000 0.000 0.000
Nd 0.500 0.500 0.500
Sc 0.500 0.500 0.000

***

- Look up the mass density of the first one.
  6.5 g/cm3